VASP calculation (GGA-PBE) on a relaxed structure of ScRe2Hg.

Cell lengths 2.863, 4.850, 5.130 Å; angles 90.00, 94.13, 90.00 degrees
Space group P2/m (No. 10)
Unique sites:
Sc1 0.000 0.000 0.000 [1 per cell]
Re1 0.326 0.500 0.776 [2 per cell]
Hg1 0.500 0.000 0.500 [1 per cell]

The value obtained for the calculated volume is 71 Å³/cell. The density of states at the Fermi level is 0.84 states/eV/atom. For the energy of formation from the pure elements, the calculation gives 0.352 eV per atom.